w | # Zr2Nb2O5 PBE optimized geometry
# SG = P4/mmm (123)
# Volume = 112.5 Å³/cell
# Crystal system = tetragonal
# Total magnetization = 1.06 μB/cell
data_Zr2Nb2O5
_symmetry_space_group_name_H-M 'P 1'
_symmetry_Int_Tables_number 1
_symmetry_space_group_name_Hall 'P 1'
_cell_length_a 3.460
_cell_length_b 3.460
_cell_length_c 9.396
_cell_angle_alpha 90.00
_cell_angle_beta 90.00
_cell_angle_gamma 90.00
loop_
_atom_site_label
_atom_site_fract_x
_atom_site_fract_y
_atom_site_fract_z
_atom_site_occupancy
Zr1 0.000 0.000 0.228 1
Zr2 0.000 0.000 0.772 1
Nb1 0.500 0.500 0.000 1
Nb2 0.500 0.500 0.500 1
O1 0.000 0.000 0.000 1
O2 0.000 0.500 0.369 1
O3 0.000 0.500 0.631 1
O4 0.500 0.000 0.369 1
O5 0.500 0.000 0.631 1


x | # Zr2Nb2O5 PBE optimized geometry
# SG = P4/mmm (123)
# Volume = 108.7 Å³/cell
# Crystal system = tetragonal
# Total magnetization = 0.00 μB/cell
data_Zr2Nb2O5
_symmetry_space_group_name_H-M 'P 1'
_symmetry_Int_Tables_number 1
_symmetry_space_group_name_Hall 'P 1'
_cell_length_a 4.035
_cell_length_b 4.035
_cell_length_c 6.672
_cell_angle_alpha 90.00
_cell_angle_beta 90.00
_cell_angle_gamma 90.00
loop_
_atom_site_label
_atom_site_fract_x
_atom_site_fract_y
_atom_site_fract_z
_atom_site_occupancy
Zr1 0.000 0.000 0.000 1
Zr2 0.000 0.000 0.500 1
Nb1 0.500 0.500 0.193 1
Nb2 0.500 0.500 0.807 1
O1 0.000 0.500 0.256 1
O2 0.000 0.500 0.744 1
O3 0.500 0.000 0.256 1
O4 0.500 0.000 0.744 1
O5 0.500 0.500 0.500 1


So which one is most stable? That would be w, about 266 meV per atom below the next structure.


w | # PaNbOs PBE optimized geometry
# SG = F-43m (216)
# Volume = 63.9 Å³/cell
# Crystal system = cubic
# Total magnetization = 0.01 μB/cell
data_PaNbOs
_symmetry_space_group_name_H-M 'P 1'
_symmetry_Int_Tables_number 1
_symmetry_space_group_name_Hall 'P 1'
_cell_length_a 4.487
_cell_length_b 4.487
_cell_length_c 4.487
_cell_angle_alpha 60.00
_cell_angle_beta 60.00
_cell_angle_gamma 60.00
loop_
_atom_site_label
_atom_site_fract_x
_atom_site_fract_y
_atom_site_fract_z
_atom_site_occupancy
Pa1 0.000 0.000 0.000 1
Nb1 0.750 0.750 0.750 1
Os1 0.250 0.250 0.250 1


x | # PaNbOs PBE optimized geometry
# SG = F-43m (216)
# Volume = 67.7 Å³/cell
# Crystal system = cubic
# Total magnetization = 0.39 μB/cell
data_PaNbOs
_symmetry_space_group_name_H-M 'P 1'
_symmetry_Int_Tables_number 1
_symmetry_space_group_name_Hall 'P 1'
_cell_length_a 4.576
_cell_length_b 4.576
_cell_length_c 4.576
_cell_angle_alpha 60.00
_cell_angle_beta 60.00
_cell_angle_gamma 60.00
loop_
_atom_site_label
_atom_site_fract_x
_atom_site_fract_y
_atom_site_fract_z
_atom_site_occupancy
Pa1 0.000 0.000 0.000 1
Nb1 0.500 0.500 0.500 1
Os1 0.750 0.750 0.750 1


So which one is most stable? That would be x, about 426 meV per atom below the next structure.


w | # NbOsPd PBE optimized geometry
# SG = F-43m (216)
# Volume = 56.7 Å³/cell
# Crystal system = cubic
# Total magnetization = 0.05 μB/cell
data_NbOsPd
_symmetry_space_group_name_H-M 'P 1'
_symmetry_Int_Tables_number 1
_symmetry_space_group_name_Hall 'P 1'
_cell_length_a 4.313
_cell_length_b 4.313
_cell_length_c 4.313
_cell_angle_alpha 60.00
_cell_angle_beta 60.00
_cell_angle_gamma 60.00
loop_
_atom_site_label
_atom_site_fract_x
_atom_site_fract_y
_atom_site_fract_z
_atom_site_occupancy
Nb1 0.000 0.000 0.000 1
Os1 0.250 0.250 0.250 1
Pd1 0.500 0.500 0.500 1


x | # NbOsPd PBE optimized geometry
# SG = F-43m (216)
# Volume = 55.9 Å³/cell
# Crystal system = cubic
# Total magnetization = 0.00 μB/cell
data_NbOsPd
_symmetry_space_group_name_H-M 'P 1'
_symmetry_Int_Tables_number 1
_symmetry_space_group_name_Hall 'P 1'
_cell_length_a 4.292
_cell_length_b 4.292
_cell_length_c 4.292
_cell_angle_alpha 60.00
_cell_angle_beta 60.00
_cell_angle_gamma 60.00
loop_
_atom_site_label
_atom_site_fract_x
_atom_site_fract_y
_atom_site_fract_z
_atom_site_occupancy
Nb1 0.000 0.000 0.000 1
Os1 0.250 0.250 0.250 1
Pd1 0.750 0.750 0.750 1


So which one is most stable? That would be x, about 48 meV per atom below the next structure.


w | # NbOsPt PBE optimized geometry
# SG = F-43m (216)
# Volume = 56.0 Å³/cell
# Crystal system = cubic
# Total magnetization = 0.00 μB/cell
data_NbOsPt
_symmetry_space_group_name_H-M 'P 1'
_symmetry_Int_Tables_number 1
_symmetry_space_group_name_Hall 'P 1'
_cell_length_a 4.294
_cell_length_b 4.294
_cell_length_c 4.294
_cell_angle_alpha 60.00
_cell_angle_beta 60.00
_cell_angle_gamma 60.00
loop_
_atom_site_label
_atom_site_fract_x
_atom_site_fract_y
_atom_site_fract_z
_atom_site_occupancy
Nb1 0.000 0.000 0.000 1
Os1 0.250 0.250 0.250 1
Pt1 0.750 0.750 0.750 1


x | # NbOsPt PBE optimized geometry
# SG = F-43m (216)
# Volume = 56.7 Å³/cell
# Crystal system = cubic
# Total magnetization = 0.00 μB/cell
data_NbOsPt
_symmetry_space_group_name_H-M 'P 1'
_symmetry_Int_Tables_number 1
_symmetry_space_group_name_Hall 'P 1'
_cell_length_a 4.312
_cell_length_b 4.312
_cell_length_c 4.312
_cell_angle_alpha 60.00
_cell_angle_beta 60.00
_cell_angle_gamma 60.00
loop_
_atom_site_label
_atom_site_fract_x
_atom_site_fract_y
_atom_site_fract_z
_atom_site_occupancy
Nb1 0.000 0.000 0.000 1
Os1 0.250 0.250 0.250 1
Pt1 0.500 0.500 0.500 1


So which one is most stable? That would be w, about 86 meV per atom below the next structure.